Here is an optimized crystal structure of NdLuCd from OQMD. Energies are from GGA-PBE.

Structure (CIF):
```
data_NdLuCd
_symmetry_space_group_name_H-M 'F -4 3 m'
_symmetry_Int_Tables_number 216
_symmetry_space_group_name_Hall 'F -4 2 3'
_cell_length_a 7.120
_cell_length_b 7.120
_cell_length_c 7.120
_cell_angle_alpha 90.00
_cell_angle_beta 90.00
_cell_angle_gamma 90.00
loop_
_atom_site_label
_atom_site_fract_x
_atom_site_fract_y
_atom_site_fract_z
Nd1 0.000 0.000 0.000
Lu1 0.250 0.250 0.750
Cd1 0.000 0.000 0.500
```

Results
**E**: -2.9821 eV/atom